(1)
First-principles (PBE-GGA) data for an optimized crystal structure of NaReBPd2, as listed in Alexandria.

Properties
D(E_F): 2.42 states/eV per cell
DFT total energy: -26.278 eV for the cell shown
formation energy: 0.91 eV per atom

Cell lengths 4.1423, 4.1423, 4.5111 Å; angles 90.00, 90.00, 90.00 degrees
Space group P4/mmm (No. 123)
One atom of each set of equivalent atoms:
Na: 0.0000 0.0000 0.0000 [1 per cell]
Re: 0.5000 0.5000 0.0000 [1 per cell]
B: 0.0000 0.0000 0.5000 [1 per cell]
Pd: 0.0000 0.5000 0.5000 [2 per cell]

(2)
First-principles (PBE-GGA) data for an optimized crystal structure of AlCd2Ag5, as listed in Alexandria.

Properties
D(E_F): 3.53 states/eV per cell
DFT total energy: -17.377 eV for the cell shown
formation energy: 0.31 eV per atom
relative energy among the computed polymorphs: 2.75 eV/f.u.

Cell lengths 6.1684, 6.1684, 4.7691 Å; angles 90.00, 90.00, 90.00 degrees
Space group P4/mmm (No. 123)
One atom of each set of equivalent atoms:
Al: 0.0000 0.0000 0.0000 [1 per cell]
Cd: 0.0000 0.5000 0.5000 [2 per cell]
Ag: 0.0000 0.0000 0.5000 [1 per cell]
Ag: 0.2817 0.2817 0.0000 [4 per cell]

(3)
First-principles (PBE-GGA) data for an optimized crystal structure of Ga3ReOs, as listed in Alexandria.

Properties
D(E_F): 3.20 states/eV per cell
DFT total energy: -27.087 eV for the cell shown
formation energy: 1.13 eV per atom
relative energy among the computed polymorphs: 0.00 eV/f.u.

Cell lengths 4.7691, 4.7691, 4.7691 Å; angles 90.00, 90.00, 90.00 degrees
Space group Pm-3m (No. 221)
One atom of each set of equivalent atoms:
Ga: 0.0000 0.0000 0.5000 [3 per cell]
Re: 0.5000 0.5000 0.5000 [1 per cell]
Os: 0.0000 0.0000 0.0000 [1 per cell]

(4)
First-principles (PBE-GGA) data for an optimized crystal structure of NaSrZnAg2, as listed in Alexandria.

Properties
D(E_F): 2.60 states/eV per cell
DFT total energy: -9.198 eV for the cell shown
formation energy: 0.16 eV per atom

Cell lengths 5.1236, 5.1236, 5.6564 Å; angles 90.00, 90.00, 90.00 degrees
Space group P4/mmm (No. 123)
One atom of each set of equivalent atoms:
Na: 0.0000 0.0000 0.0000 [1 per cell]
Sr: 0.5000 0.5000 0.0000 [1 per cell]
Zn: 0.5000 0.5000 0.5000 [1 per cell]
Ag: 0.0000 0.5000 0.5000 [2 per cell]

(5)
First-principles (PBE-GGA) data for an optimized crystal structure of TiNb3S, as listed in Alexandria.

Properties
D(E_F): 6.08 states/eV per cell
formation energy (no corrections): 0.07 eV per atom
DFT total energy: -41.880 eV for the cell shown
relative energy among the computed polymorphs: 1.84 eV/f.u.

Cell lengths 4.5845, 4.5845, 4.5845 Å; angles 90.00, 90.00, 90.00 degrees
Space group Pm-3m (No. 221)
One atom of each set of equivalent atoms:
Ti: 0.0000 0.0000 0.0000 [1 per cell]
Nb: 0.0000 0.5000 0.5000 [3 per cell]
S: 0.5000 0.5000 0.5000 [1 per cell]

(6)
First-principles (PBE-GGA) data for an optimized crystal structure of Sr2AlPdO6, as listed in Alexandria.

Properties
D(E_F): 21.85 states/eV per cell
formation energy (no corrections): -1.99 eV per atom
DFT total energy: -371.452 eV for the cell shown

Cell lengths 5.5807, 5.5807, 28.0958 Å; angles 90.00, 90.00, 120.00 degrees
Space group R-3m (No. 166, hexagonal axes)
One atom of each set of equivalent atoms:
Sr: 0.0000 0.0000 0.1252 [6 per cell]
Sr: 0.0000 0.0000 0.2839 [6 per cell]
Al: 0.0000 0.0000 0.0000 [3 per cell]
Al: 0.0000 0.0000 0.5000 [3 per cell]
Pd: 0.0000 0.0000 0.4096 [6 per cell]
O: 0.0160 0.5080 0.7054 [18 per cell]
O: 0.0221 0.5111 0.1239 [18 per cell]